# 1
Entry from Alexandria: a relaxed Pa2NbRh crystal (PBE).

Total magnetic moment in μB/atom: 0.0000
Formation energy in eV per atom: -0.125
Density of states at the Fermi level in states/eV/cell: 7.0

a b c (Å): 4.936 4.936 4.936
angles (deg): 60.00 60.00 60.00
Element x y z (fractional)
Pa (0.250, 0.250, 0.250)
Pa (0.750, 0.750, 0.750)
Nb (0.000, 0.000, 0.000)
Rh (0.500, 0.500, 0.500)

# 2
Entry from Alexandria: a relaxed Ac3Pr2Pt3 crystal (PBE).

Total magnetic moment in μB/atom: 0.0000
Formation energy in eV per atom: -0.788
Density of states at the Fermi level in states/eV/cell: 13.4

a b c (Å): 7.334 7.334 14.812
angles (deg): 91.46 91.46 48.01
Element x y z (fractional)
Ac (0.000, 0.000, 0.000)
Ac (0.204, 0.204, 0.374)
Ac (0.298, 0.298, 0.866)
Ac (0.305, 0.305, 0.129)
Ac (0.504, 0.504, 0.501)
Ac (0.894, 0.894, 0.673)
Pr (0.180, 0.180, 0.635)
Pr (0.577, 0.577, 0.813)
Pr (0.589, 0.589, 0.184)
Pr (0.919, 0.919, 0.311)
Pt (0.023, 0.023, 0.495)
Pt (0.083, 0.083, 0.805)
Pt (0.097, 0.097, 0.195)
Pt (0.395, 0.395, 0.687)
Pt (0.413, 0.413, 0.304)
Pt (0.478, 0.478, 0.999)

# 3
Entry from Alexandria: a relaxed GdInRh2 crystal (PBE).

Total magnetic moment in μB/atom: 1.7703
Formation energy in eV per atom: -0.623
Density of states at the Fermi level in states/eV/cell: 1.4

a b c (Å): 3.409 3.409 6.461
angles (deg): 90.00 90.00 90.00
Element x y z (fractional)
Gd (0.000, 0.000, 0.000)
In (0.000, 0.000, 0.500)
Rh (0.500, 0.500, 0.266)
Rh (0.500, 0.500, 0.734)

# 4
Entry from Alexandria: a relaxed Li4InPb2 crystal (PBE).

Total magnetic moment in μB/atom: 0.0000
Formation energy in eV per atom: -0.204
Density of states at the Fermi level in states/eV/cell: 2.3
Energy relative to the lowest polymorph listed for this composition in meV/atom: 0

a b c (Å): 8.334 8.334 8.334
angles (deg): 33.33 33.33 33.33
Element x y z (fractional)
Li (0.123, 0.123, 0.123)
Li (0.373, 0.373, 0.373)
Li (0.627, 0.627, 0.627)
Li (0.877, 0.877, 0.877)
In (0.500, 0.500, 0.500)
Pb (0.250, 0.250, 0.250)
Pb (0.750, 0.750, 0.750)

# 5
Entry from Alexandria: a relaxed Cd3In2Hg6 crystal (PBE).

Total magnetic moment in μB/atom: 0.0000
Formation energy in eV per atom: 0.020
Density of states at the Fermi level in states/eV/cell: 3.4
Energy relative to the lowest polymorph listed for this composition in meV/atom: 0

a b c (Å): 6.310 6.310 8.812
angles (deg): 97.38 97.38 120.14
Element x y z (fractional)
Cd (0.000, 0.000, 0.000)
Cd (0.291, 0.709, 0.000)
Cd (0.709, 0.291, 0.000)
In (0.151, 0.849, 0.500)
In (0.849, 0.151, 0.500)
Hg (0.151, 0.444, 0.277)
Hg (0.294, 0.294, 0.777)
Hg (0.444, 0.151, 0.277)
Hg (0.556, 0.849, 0.723)
Hg (0.706, 0.706, 0.223)
Hg (0.849, 0.556, 0.723)

# 6
Entry from Alexandria: a relaxed Tl2ReTe crystal (PBE).

E_form (uncorrected) in meV/atom: 407
Total magnetic moment in μB/atom: 0.0000
Density of states at the Fermi level in states/eV/cell: 2.0
Energy relative to the lowest polymorph listed for this composition in meV/atom: 0

a b c (Å): 3.305 3.305 9.196
angles (deg): 90.00 90.00 90.00
Element x y z (fractional)
Tl (0.000, 0.000, 0.000)
Tl (0.500, 0.500, 0.282)
Re (0.000, 0.000, 0.503)
Te (0.500, 0.500, 0.656)

# 7
Entry from Alexandria: a relaxed PmTm2Cd crystal (PBE).

Total magnetic moment in μB/atom: 0.0000
Formation energy in eV per atom: -0.054
Density of states at the Fermi level in states/eV/cell: 5.2
Energy relative to the lowest polymorph listed for this composition in meV/atom: 95

a b c (Å): 10.890 10.890 10.890
angles (deg): 18.95 18.95 18.95
Element x y z (fractional)
Pm (0.000, 0.000, 0.000)
Tm (0.243, 0.243, 0.243)
Tm (0.424, 0.424, 0.424)
Cd (0.834, 0.834, 0.834)

# 8
Entry from Alexandria: a relaxed IrRu2Cl crystal (PBE).

E_form (uncorrected) in meV/atom: 583
Total magnetic moment in μB/atom: 0.0000
Density of states at the Fermi level in states/eV/cell: 3.9
Energy relative to the lowest polymorph listed for this composition in meV/atom: 185

a b c (Å): 2.799 3.522 6.548
angles (deg): 90.00 90.00 90.00
Element x y z (fractional)
Ir (0.000, 0.000, 0.000)
Ru (0.500, 0.500, 0.205)
Ru (0.500, 0.500, 0.795)
Cl (0.000, 0.000, 0.500)